1.
VASP calculation (PBE-GGA) on an optimized crystal structure of TbPm6Sm2.

Calculated values
ΔH_f (0 K) ... 0.113 eV/atom
VASP energy ... -4.62 eV per atom
Crystal system ... monoclinic

abc: 9.7692 9.7692 6.7361
angles: 99.93 99.93 96.69
Closest atoms and distances in Å follow each position.
Positions (direct):
Tb (0.1184, 0.8816, 0.7500)  10 Pm 3.41-3.80
Tb (0.8816, 0.1184, 0.2500)  10 Pm 3.41-3.80
Pm (0.0404, 0.2231, 0.8203)  3 Pm 3.31-3.50, 1 Tb 3.48, 2 Sm 3.54-3.60
Pm (0.0595, 0.4633, 0.2788)  6 Pm 3.38-3.64, 2 Sm 3.52-3.74, 1 Tb 3.56
Pm (0.2231, 0.0404, 0.3203)  3 Pm 3.31-3.50, 1 Tb 3.48, 2 Sm 3.54-3.60
Pm (0.2796, 0.6480, 0.9935)  5 Pm 3.34-3.64, 1 Tb 3.41, 3 Sm 3.41-3.57
Pm (0.3520, 0.7204, 0.5065)  5 Pm 3.34-3.64, 1 Tb 3.41, 3 Sm 3.41-3.57
Pm (0.4633, 0.0595, 0.7788)  6 Pm 3.38-3.64, 2 Sm 3.52-3.74, 1 Tb 3.56
Pm (0.5367, 0.9405, 0.2212)  6 Pm 3.38-3.64, 2 Sm 3.52-3.74, 1 Tb 3.56
Pm (0.6480, 0.2796, 0.4935)  5 Pm 3.34-3.64, 1 Tb 3.41, 3 Sm 3.41-3.57
Pm (0.7204, 0.3520, 0.0065)  5 Pm 3.34-3.64, 1 Tb 3.41, 3 Sm 3.41-3.57
Pm (0.7769, 0.9596, 0.6797)  3 Pm 3.31-3.50, 1 Tb 3.48, 2 Sm 3.54-3.60
Pm (0.9405, 0.5367, 0.7212)  6 Pm 3.38-3.64, 2 Sm 3.52-3.74, 1 Tb 3.56
Pm (0.9596, 0.7769, 0.1797)  3 Pm 3.31-3.50, 1 Tb 3.48, 2 Sm 3.54-3.60
Sm (0.3322, 0.3794, 0.6312)  7 Pm 3.41-3.74, 3 Sm 3.44-3.67
Sm (0.3794, 0.3322, 0.1312)  7 Pm 3.41-3.74, 3 Sm 3.44-3.67
Sm (0.6206, 0.6678, 0.8688)  7 Pm 3.41-3.74, 3 Sm 3.44-3.67
Sm (0.6678, 0.6206, 0.3688)  7 Pm 3.41-3.74, 3 Sm 3.44-3.67

***

2.
VASP calculation (PBE-GGA) on an optimized crystal structure of Tb4Pm8Sm.

Calculated values
ΔH_f (0 K) ... 0.181 eV/atom
VASP energy ... -4.53 eV per atom
Crystal system ... trigonal

abc: 10.3093 10.3093 10.3093
angles: 41.88 41.88 41.88
Closest atoms and distances in Å follow each position.
Positions (direct):
Tb (0.0000, 0.0000, 0.0000)  6 Pm 3.39, 6 Tb 3.68
Tb (0.0000, 0.5000, 0.5000)  6 Pm 3.59-3.94, 6 Tb 3.68
Tb (0.5000, 0.0000, 0.5000)  6 Pm 3.59-3.94, 6 Tb 3.68
Tb (0.5000, 0.5000, 0.0000)  6 Pm 3.59-3.94, 6 Tb 3.68
Pm (0.1992, 0.7510, 0.7510)  1 Sm 3.01, 2 Pm 3.30
Pm (0.2156, 0.2156, 0.2156)  9 Pm 3.73-3.78, 3 Tb 3.94
Pm (0.2490, 0.2490, 0.8008)  1 Sm 3.01, 2 Pm 3.30
Pm (0.2490, 0.8008, 0.2490)  1 Sm 3.01, 2 Pm 3.30
Pm (0.7510, 0.1992, 0.7510)  1 Sm 3.01, 2 Pm 3.30
Pm (0.7510, 0.7510, 0.1992)  1 Sm 3.01, 2 Pm 3.30
Pm (0.7844, 0.7844, 0.7844)  9 Pm 3.73-3.78, 3 Tb 3.94
Pm (0.8008, 0.2490, 0.2490)  1 Sm 3.01, 2 Pm 3.30
Sm (0.5000, 0.5000, 0.5000)  6 Pm 3.01

***

3.
VASP calculation (PBE-GGA) on an optimized crystal structure of Tb3Pm6Sm2.

Calculated values
ΔH_f (0 K) ... 0.014 eV/atom
VASP energy ... -4.70 eV per atom
Crystal system ... triclinic

abc: 3.6200 6.2708 16.9958
angles: 90.11 90.02 106.71
Closest atoms and distances in Å follow each position.
Positions (direct):
Tb (0.0000, 0.0000, 0.0000)  10 Pm 3.62-3.63, 2 Tb 3.62
Tb (0.0910, 0.1810, 0.3640)  7 Pm 3.61-3.62, 3 Sm 3.62, 2 Tb 3.62
Tb (0.9090, 0.8190, 0.6360)  7 Pm 3.61-3.62, 3 Sm 3.62, 2 Tb 3.62
Pm (0.2729, 0.5461, 0.0909)  7 Pm 3.61-3.63, 3 Tb 3.62, 2 Sm 3.63
Pm (0.3634, 0.7277, 0.4547)  5 Pm 3.61-3.63, 5 Tb 3.61-3.62, 2 Sm 3.61-3.62
Pm (0.4547, 0.9099, 0.8179)  5 Pm 3.61-3.63, 3 Sm 3.62-3.63, 4 Tb 3.62-3.63
Pm (0.5453, 0.0901, 0.1821)  5 Pm 3.61-3.63, 3 Sm 3.62-3.63, 4 Tb 3.62-3.63
Pm (0.6365, 0.2723, 0.5453)  5 Pm 3.61-3.63, 5 Tb 3.61-3.62, 2 Sm 3.61-3.62
Pm (0.7271, 0.4539, 0.9091)  7 Pm 3.61-3.63, 3 Tb 3.62, 2 Sm 3.63
Sm (0.1827, 0.3655, 0.7265)  7 Pm 3.61-3.63, 3 Tb 3.62, 2 Sm 3.62
Sm (0.8173, 0.6345, 0.2735)  7 Pm 3.61-3.63, 3 Tb 3.62, 2 Sm 3.62

***

4.
VASP calculation (PBE-GGA) on an optimized crystal structure of Tb6Pm7Sm16.

Calculated values
ΔH_f (0 K) ... 0.232 eV/atom
VASP energy ... -4.48 eV per atom
Crystal system ... cubic

abc: 11.3109 11.3109 11.3109
angles: 60.00 60.00 60.00
Closest atoms and distances in Å follow each position.
Positions (direct):
Tb (0.2328, 0.2328, 0.7672)  8 Sm 3.64-3.66, 4 Pm 4.01
Tb (0.2328, 0.7672, 0.2328)  8 Sm 3.64-3.66, 4 Pm 4.01
Tb (0.2328, 0.7672, 0.7672)  8 Sm 3.64-3.66, 4 Pm 4.01
Tb (0.7672, 0.2328, 0.2328)  8 Sm 3.64-3.66, 4 Pm 4.01
Tb (0.7672, 0.2328, 0.7672)  8 Sm 3.64-3.66, 4 Pm 4.01
Tb (0.7672, 0.7672, 0.2328)  8 Sm 3.64-3.66, 4 Pm 4.01
Pm (0.0000, 0.0000, 0.5000)  8 Sm 3.29-3.46
Pm (0.0000, 0.5000, 0.0000)  8 Sm 3.29-3.46
Pm (0.0000, 0.5000, 0.5000)  8 Sm 3.29-3.46
Pm (0.5000, 0.0000, 0.0000)  8 Sm 3.29-3.46
Pm (0.5000, 0.0000, 0.5000)  8 Sm 3.29-3.46
Pm (0.5000, 0.5000, 0.0000)  8 Sm 3.29-3.46
Pm (0.5000, 0.5000, 0.5000)  8 Sm 3.49
Sm (0.1225, 0.6258, 0.6258)  4 Pm 3.46-3.49, 3 Sm 3.62, 3 Tb 3.64
Sm (0.1509, 0.1509, 0.1509)  3 Pm 3.29, 3 Sm 3.62, 3 Tb 3.66
Sm (0.1509, 0.1509, 0.5474)  3 Pm 3.29, 3 Sm 3.62, 3 Tb 3.66
Sm (0.1509, 0.5474, 0.1509)  3 Pm 3.29, 3 Sm 3.62, 3 Tb 3.66
Sm (0.3742, 0.3742, 0.3742)  4 Pm 3.46-3.49, 3 Sm 3.62, 3 Tb 3.64
Sm (0.3742, 0.3742, 0.8775)  4 Pm 3.46-3.49, 3 Sm 3.62, 3 Tb 3.64
Sm (0.3742, 0.8775, 0.3742)  4 Pm 3.46-3.49, 3 Sm 3.62, 3 Tb 3.64
Sm (0.4526, 0.8491, 0.8491)  3 Pm 3.29, 3 Sm 3.62, 3 Tb 3.66
Sm (0.5474, 0.1509, 0.1509)  3 Pm 3.29, 3 Sm 3.62, 3 Tb 3.66
Sm (0.6258, 0.1225, 0.6258)  4 Pm 3.46-3.49, 3 Sm 3.62, 3 Tb 3.64
Sm (0.6258, 0.6258, 0.1225)  4 Pm 3.46-3.49, 3 Sm 3.62, 3 Tb 3.64
Sm (0.6258, 0.6258, 0.6258)  4 Pm 3.46-3.49, 3 Sm 3.62, 3 Tb 3.64
Sm (0.8491, 0.4526, 0.8491)  3 Pm 3.29, 3 Sm 3.62, 3 Tb 3.66
Sm (0.8491, 0.8491, 0.4526)  3 Pm 3.29, 3 Sm 3.62, 3 Tb 3.66
Sm (0.8491, 0.8491, 0.8491)  3 Pm 3.29, 3 Sm 3.62, 3 Tb 3.66
Sm (0.8775, 0.3742, 0.3742)  4 Pm 3.46-3.49, 3 Sm 3.62, 3 Tb 3.64

***

5.
VASP calculation (PBE-GGA) on an optimized crystal structure of Tb6Pm16Sm7.

Calculated values
ΔH_f (0 K) ... 0.223 eV/atom
VASP energy ... -4.50 eV per atom
Crystal system ... cubic

abc: 11.3275 11.3275 11.3275
angles: 60.00 60.00 60.00
Closest atoms and distances in Å follow each position.
Positions (direct):
Tb (0.2328, 0.2328, 0.7672)  8 Pm 3.64-3.66, 4 Sm 4.01
Tb (0.2328, 0.7672, 0.2328)  8 Pm 3.64-3.66, 4 Sm 4.01
Tb (0.2328, 0.7672, 0.7672)  8 Pm 3.64-3.66, 4 Sm 4.01
Tb (0.7672, 0.2328, 0.2328)  8 Pm 3.64-3.66, 4 Sm 4.01
Tb (0.7672, 0.2328, 0.7672)  8 Pm 3.64-3.66, 4 Sm 4.01
Tb (0.7672, 0.7672, 0.2328)  8 Pm 3.64-3.66, 4 Sm 4.01
Pm (0.1234, 0.6255, 0.6255)  4 Sm 3.46-3.48, 3 Pm 3.63, 3 Tb 3.64
Pm (0.1508, 0.1508, 0.1508)  3 Sm 3.30, 3 Pm 3.63, 3 Tb 3.66
Pm (0.1508, 0.1508, 0.5477)  3 Sm 3.30, 3 Pm 3.63, 3 Tb 3.66
Pm (0.1508, 0.5477, 0.1508)  3 Sm 3.30, 3 Pm 3.63, 3 Tb 3.66
Pm (0.3745, 0.3745, 0.3745)  4 Sm 3.46-3.48, 3 Pm 3.63, 3 Tb 3.64
Pm (0.3745, 0.3745, 0.8766)  4 Sm 3.46-3.48, 3 Pm 3.63, 3 Tb 3.64
Pm (0.3745, 0.8766, 0.3745)  4 Sm 3.46-3.48, 3 Pm 3.63, 3 Tb 3.64
Pm (0.4523, 0.8492, 0.8492)  3 Sm 3.30, 3 Pm 3.63, 3 Tb 3.66
Pm (0.5477, 0.1508, 0.1508)  3 Sm 3.30, 3 Pm 3.63, 3 Tb 3.66
Pm (0.6255, 0.1234, 0.6255)  4 Sm 3.46-3.48, 3 Pm 3.63, 3 Tb 3.64
Pm (0.6255, 0.6255, 0.1234)  4 Sm 3.46-3.48, 3 Pm 3.63, 3 Tb 3.64
Pm (0.6255, 0.6255, 0.6255)  4 Sm 3.46-3.48, 3 Pm 3.63, 3 Tb 3.64
Pm (0.8492, 0.4523, 0.8492)  3 Sm 3.30, 3 Pm 3.63, 3 Tb 3.66
Pm (0.8492, 0.8492, 0.4523)  3 Sm 3.30, 3 Pm 3.63, 3 Tb 3.66
Pm (0.8492, 0.8492, 0.8492)  3 Sm 3.30, 3 Pm 3.63, 3 Tb 3.66
Pm (0.8766, 0.3745, 0.3745)  4 Sm 3.46-3.48, 3 Pm 3.63, 3 Tb 3.64
Sm (0.0000, 0.0000, 0.5000)  8 Pm 3.30-3.46
Sm (0.0000, 0.5000, 0.0000)  8 Pm 3.30-3.46
Sm (0.0000, 0.5000, 0.5000)  8 Pm 3.30-3.46
Sm (0.5000, 0.0000, 0.0000)  8 Pm 3.30-3.46
Sm (0.5000, 0.0000, 0.5000)  8 Pm 3.30-3.46
Sm (0.5000, 0.5000, 0.0000)  8 Pm 3.30-3.46
Sm (0.5000, 0.5000, 0.5000)  8 Pm 3.48

***

6.
VASP calculation (PBE-GGA) on an optimized crystal structure of TbPm8Sm5.

Calculated values
ΔH_f (0 K) ... 0.241 eV/atom
VASP energy ... -4.49 eV per atom
Crystal system ... tetragonal

abc: 8.5921 8.5921 8.5921
angles: 111.00 111.00 106.46
Closest atoms and distances in Å follow each position.
Positions (direct):
Tb (0.0000, 0.0000, 0.0000)  4 Pm 3.21
Pm (0.0802, 0.3151, 0.4035)  4 Sm 3.19-3.57, 1 Tb 3.21
Pm (0.1732, 0.4174, 0.8956)  5 Sm 3.39-3.62, 3 Pm 3.66-3.73
Pm (0.3233, 0.9198, 0.2349)  4 Sm 3.19-3.57, 1 Tb 3.21
Pm (0.5218, 0.2775, 0.1044)  5 Sm 3.39-3.62, 3 Pm 3.66-3.73
Pm (0.5826, 0.4782, 0.7558)  5 Sm 3.39-3.62, 3 Pm 3.66-3.73
Pm (0.6849, 0.0883, 0.7651)  4 Sm 3.19-3.57, 1 Tb 3.21
Pm (0.7225, 0.8268, 0.2442)  5 Sm 3.39-3.62, 3 Pm 3.66-3.73
Pm (0.9117, 0.6767, 0.5965)  4 Sm 3.19-3.57, 1 Tb 3.21
Sm (0.2171, 0.0333, 0.6010)  8 Pm 3.40-3.64, 2 Sm 3.58
Sm (0.3840, 0.7829, 0.8162)  8 Pm 3.40-3.64, 2 Sm 3.58
Sm (0.4322, 0.6160, 0.3990)  8 Pm 3.40-3.64, 2 Sm 3.58
Sm (0.7500, 0.2500, 0.5000)  8 Pm 3.19-3.39
Sm (0.9667, 0.5678, 0.1838)  8 Pm 3.40-3.64, 2 Sm 3.58

***

7.
VASP calculation (PBE-GGA) on an optimized crystal structure of TbPmSm2.

Calculated values
ΔH_f (0 K) ... 0.017 eV/atom
VASP energy ... -4.69 eV per atom
Crystal system ... tetragonal

abc: 5.1105 5.1105 5.1155
angles: 90.00 90.00 90.00
Closest atoms and distances in Å follow each position.
Positions (direct):
Tb (0.0000, 0.0000, 0.0000)  4 Pm 3.61, 8 Sm 3.62
Pm (0.5000, 0.5000, 0.0000)  4 Tb 3.61, 8 Sm 3.62
Sm (0.0000, 0.5000, 0.5000)  4 Sm 3.61, 4 Pm 3.62, 4 Tb 3.62
Sm (0.5000, 0.0000, 0.5000)  4 Sm 3.61, 4 Pm 3.62, 4 Tb 3.62

***

8.
VASP calculation (PBE-GGA) on an optimized crystal structure of Tb2Pm7Sm2.

Calculated values
ΔH_f (0 K) ... 0.110 eV/atom
VASP energy ... -4.61 eV per atom
Crystal system ... orthorhombic

abc: 9.4836 9.4836 9.4836
angles: 145.08 63.76 128.47
Closest atoms and distances in Å follow each position.
Positions (direct):
Tb (0.0000, 0.0000, 0.0000)  4 Pm 3.25-3.26
Tb (0.7129, 0.2129, 0.5000)  7 Pm 3.42-3.57, 2 Sm 3.69, 2 Tb 3.70
Pm (0.1586, 0.2940, 0.8646)  1 Tb 3.26, 3 Pm 3.38-3.59, 3 Sm 3.47-3.59
Pm (0.1625, 0.5010, 0.6615)  3 Tb 3.52-3.86, 7 Pm 3.57-3.78, 2 Sm 3.61
Pm (0.2975, 0.7975, 0.5000)  3 Tb 3.42-3.76, 6 Pm 3.57-3.59, 2 Sm 3.63
Pm (0.4294, 0.2940, 0.1354)  1 Tb 3.26, 3 Pm 3.38-3.59, 3 Sm 3.47-3.59
Pm (0.5706, 0.7044, 0.8663)  3 Tb 3.25-3.57, 1 Pm 3.38, 3 Sm 3.49-3.60
Pm (0.8381, 0.7044, 0.1337)  3 Tb 3.25-3.57, 1 Pm 3.38, 3 Sm 3.49-3.60
Pm (0.8394, 0.5010, 0.3385)  3 Tb 3.52-3.86, 7 Pm 3.57-3.78, 2 Sm 3.61
Sm (0.2974, 0.9982, 0.2992)  9 Pm 3.47-3.63, 1 Tb 3.69
Sm (0.6990, 0.9982, 0.7008)  9 Pm 3.47-3.63, 1 Tb 3.69

***

9.
VASP calculation (PBE-GGA) on an optimized crystal structure of Tb8PmSm3.

Calculated values
ΔH_f (0 K) ... 0.619 eV/atom
VASP energy ... -4.04 eV per atom
Crystal system ... tetragonal

abc: 8.3890 8.3890 8.3890
angles: 117.38 117.38 94.60
Closest atoms and distances in Å follow each position.
Positions (direct):
Tb (0.1244, 0.1244, 0.7496)  3 Tb 3.09-3.24, 3 Sm 3.23-3.45, 1 Pm 3.24
Tb (0.2491, 0.2491, 0.4995)  1 Sm 3.08, 1 Pm 3.09, 2 Tb 3.23-3.24
Tb (0.2504, 0.7509, 0.0000)  1 Sm 3.08, 1 Pm 3.09, 2 Tb 3.23-3.24
Tb (0.3748, 0.3748, 0.2504)  3 Tb 3.09-3.24, 3 Sm 3.23-3.45, 1 Pm 3.24
Tb (0.6252, 0.8756, 0.0000)  3 Tb 3.09-3.24, 3 Sm 3.23-3.45, 1 Pm 3.24
Tb (0.7496, 0.7496, 0.5005)  1 Sm 3.08, 1 Pm 3.09, 2 Tb 3.23-3.24
Tb (0.7509, 0.2504, 0.0000)  1 Sm 3.08, 1 Pm 3.09, 2 Tb 3.23-3.24
Tb (0.8756, 0.6252, 0.0000)  3 Tb 3.09-3.24, 3 Sm 3.23-3.45, 1 Pm 3.24
Pm (0.5000, 0.5000, 0.0000)  8 Tb 3.09-3.24
Sm (0.0000, 0.0000, 0.0000)  8 Tb 3.08-3.23
Sm (0.2500, 0.7500, 0.5000)  4 Tb 3.45
Sm (0.7500, 0.2500, 0.5000)  4 Tb 3.45

***

> Which formula does entry 3 have?

Tb3Pm6Sm2

***

> Which value of ΔH_f (0 K) does entry 9 give?

0.619 eV/atom

***

> What is the ΔH_f (0 K) in the eighth record?

0.110 eV/atom

***

> Which of these has the highest ΔH_f (0 K)?

Tb8PmSm3